Here is a relaxed KRbMn2Br8 crystal from the Alexandria database. Energies are from PBE.

Output
Electronic total energy ... -3.785 eV per atom
Density of states at the Fermi level ... 1.176 states/eV per atom

Cell lengths 7.0599, 7.0599, 10.8526 Å; angles 90.00, 90.00, 120.00 degrees
Space group P-3 (No. 147)
One atom of each set of equivalent atoms:
K1 0.0000 0.0000 0.0000 x1
Rb1 0.0000 0.0000 0.5000 x1
Mn1 0.3333 0.6667 0.2771 x2
Br1 0.0076 0.3427 0.2166 x6
Br2 0.3333 0.6667 0.4948 x2

***

Here is a relaxed KRb2MnBr6 crystal from the Alexandria database. Energies are from PBE.

Output
Electronic total energy ... -3.531 eV per atom
Energy above the most stable polymorph in this dataset ... 0 meV per atom
Density of states at the Fermi level ... 0.142 states/eV per atom

Cell lengths 7.778, 8.451, 13.566 Å; angles 90.00, 124.69, 90.00 degrees
Space group P2_1/c (No. 14)
One atom of each set of equivalent atoms:
K1 0.000 0.000 0.000 x2
Rb1 0.287 0.078 0.759 x4
Mn1 0.500 0.000 0.500 x2
Br1 0.200 0.020 0.287 x4
Br2 0.277 0.658 0.041 x4
Br3 0.373 0.218 0.052 x4

***

Here is a relaxed K3RbMn4Br12 crystal from the Alexandria database. Energies are from PBE.

Output
Electronic total energy ... -4.144 eV per atom
Density of states at the Fermi level ... 0.000 states/eV per atom

Cell lengths 15.9859, 15.9859, 12.3586 Å; angles 90.00, 90.00, 120.00 degrees
Space group R32 (No. 155, hexagonal axes)
One atom of each set of equivalent atoms:
K1 0.0000 0.5428 0.0000 x9
Rb1 0.0000 0.0000 0.0000 x3
Mn1 0.0000 0.0000 0.5000 x3
Mn2 0.0000 0.4523 0.5000 x9
Br1 0.0000 0.6035 0.5000 x9
Br2 0.0000 0.8491 0.5000 x9
Br3 0.0281 0.2050 0.1644 x18

***

Here is a relaxed K2RbMnBr crystal from the Alexandria database. Energies are from PBE.

Output
Electronic total energy ... -2.266 eV per atom
Density of states at the Fermi level ... 2.101 states/eV per atom

Cell lengths 7.658, 7.658, 6.598 Å; angles 90.00, 90.00, 90.00 degrees
Space group P4/mmm (No. 123)
One atom of each set of equivalent atoms:
K1 0.000 0.500 0.000 x2
Rb1 0.000 0.000 0.000 x1
Mn1 0.000 0.000 0.500 x1
Br1 0.500 0.500 0.500 x1

***

Here is a relaxed KMnRe2Br crystal from the Alexandria database. Energies are from PBE.

Output
Electronic total energy ... -3.774 eV per atom
Density of states at the Fermi level ... 1.141 states/eV per atom

Cell lengths 5.501, 5.501, 4.498 Å; angles 90.00, 90.00, 90.00 degrees
Space group P4/mmm (No. 123)
One atom of each set of equivalent atoms:
K1 0.000 0.000 0.000 x1
Mn1 0.000 0.000 0.500 x1
Re1 0.000 0.500 0.000 x2
Br1 0.500 0.500 0.500 x1

***

Here is a relaxed KMn2SbBr8 crystal from the Alexandria database. Energies are from PBE.

Output
Electronic total energy ... -3.880 eV per atom
Density of states at the Fermi level ... 0.000 states/eV per atom

Cell lengths 6.8120, 6.8120, 32.5597 Å; angles 90.00, 90.00, 120.00 degrees
Space group R32 (No. 155, hexagonal axes)
One atom of each set of equivalent atoms:
K1 0.0000 0.0000 0.0000 x3
Mn1 0.0000 0.0000 0.2472 x6
Sb1 0.0000 0.0000 0.5000 x3
Br1 0.0000 0.0000 0.3214 x6
Br2 0.0035 0.3546 0.2239 x18

***

Here is a relaxed KScMn2Br8 crystal from the Alexandria database. Energies are from PBE.

Output
Electronic total energy ... -4.419 eV per atom
Density of states at the Fermi level ... 0.000 states/eV per atom

Cell lengths 6.6890, 6.6890, 32.1909 Å; angles 90.00, 90.00, 120.00 degrees
Space group R32 (No. 155, hexagonal axes)
One atom of each set of equivalent atoms:
K1 0.0000 0.0000 0.0000 x3
Sc1 0.0000 0.0000 0.5000 x3
Mn1 0.0000 0.0000 0.2438 x6
Br1 0.0000 0.0000 0.3191 x6
Br2 0.0140 0.3680 0.2210 x18

***

Here is a relaxed KScMnBr6 crystal from the Alexandria database. Energies are from PBE.

Output
Electronic total energy ... -4.121 eV per atom
Density of states at the Fermi level ... 0.963 states/eV per atom

Cell lengths 6.6743, 6.6743, 15.0234 Å; angles 90.00, 90.00, 120.00 degrees
Space group P-31c (No. 163)
One atom of each set of equivalent atoms:
K1 0.0000 0.0000 0.0000 x2
Sc1 0.3333 0.6667 0.2500 x2
Mn1 0.3333 0.6667 0.7500 x2
Br1 0.0178 0.3753 0.6510 x12

***

Here is a relaxed KMnSeBr2 crystal from the Alexandria database. Energies are from PBE.

Output
Electronic total energy ... -3.019 eV per atom
Energy above the most stable polymorph in this dataset ... 1233 meV per atom
Density of states at the Fermi level ... 1.057 states/eV per atom

Cell lengths 5.799, 5.799, 5.862 Å; angles 90.00, 90.00, 90.00 degrees
Space group P4/mmm (No. 123)
One atom of each set of equivalent atoms:
K1 0.000 0.000 0.000 x1
Mn1 0.500 0.500 0.500 x1
Se1 0.000 0.000 0.500 x1
Br1 0.000 0.500 0.000 x2

***

Here is a relaxed KMnSe2Br crystal from the Alexandria database. Energies are from PBE.

Output
Electronic total energy ... -4.195 eV per atom
Density of states at the Fermi level ... 1.179 states/eV per atom

Cell lengths 4.656, 4.656, 5.752 Å; angles 90.00, 90.00, 90.00 degrees
Space group P4/mmm (No. 123)
One atom of each set of equivalent atoms:
K1 0.000 0.000 0.000 x1
Mn1 0.500 0.500 0.500 x1
Se1 0.000 0.500 0.500 x2
Br1 0.500 0.500 0.000 x1

***

Here is a relaxed KMnSeBr2 crystal from the Alexandria database. Energies are from PBE.

Output
Electronic total energy ... -4.252 eV per atom
Energy above the most stable polymorph in this dataset ... 0 meV per atom
Density of states at the Fermi level ... 0.871 states/eV per atom

Cell lengths 5.404, 5.404, 4.880 Å; angles 90.00, 90.00, 90.00 degrees
Space group P4/mmm (No. 123)
One atom of each set of equivalent atoms:
K1 0.000 0.000 0.000 x1
Mn1 0.500 0.500 0.500 x1
Se1 0.500 0.500 0.000 x1
Br1 0.000 0.500 0.500 x2

***

Here is a relaxed KSmMnBr6 crystal from the Alexandria database. Energies are from PBE.

Output
Electronic total energy ... -4.000 eV per atom
Density of states at the Fermi level ... 0.972 states/eV per atom

Cell lengths 6.9662, 6.9662, 14.8502 Å; angles 90.00, 90.00, 120.00 degrees
Space group P-31c (No. 163)
One atom of each set of equivalent atoms:
K1 0.0000 0.0000 0.0000 x2
Sm1 0.3333 0.6667 0.2500 x2
Mn1 0.3333 0.6667 0.7500 x2
Br1 0.0368 0.3828 0.6467 x12

***

Here is a relaxed KMnSn2Br8 crystal from the Alexandria database. Energies are from PBE.

Output
Electronic total energy ... -3.509 eV per atom

Cell lengths 6.784, 7.669, 8.937 Å; angles 78.29, 73.51, 85.34 degrees
Space group P-1 (No. 2)
One atom of each set of equivalent atoms:
K1 0.000 0.000 0.000 x1
Mn1 0.000 0.000 0.500 x1
Sn1 0.450 0.380 0.254 x2
Br1 0.164 0.193 0.612 x2
Br2 0.194 0.735 0.601 x2
Br3 0.235 0.597 0.030 x2
Br4 0.336 0.067 0.210 x2

***

Here is a relaxed KSrMnBr5 crystal from the Alexandria database. Energies are from PBE.

Output
Electronic total energy ... -4.062 eV per atom
Density of states at the Fermi level ... 0.000 states/eV per atom

Cell lengths 9.723, 12.943, 10.797 Å; angles 90.00, 113.15, 90.00 degrees
Space group C2/c (No. 15)
One atom of each set of equivalent atoms:
K1 0.000 0.151 0.250 x4
Sr1 0.000 0.500 0.000 x4
Mn1 0.000 0.181 0.750 x4
Br1 0.000 0.402 0.250 x4
Br2 0.129 0.291 0.636 x8
Br3 0.167 0.062 0.932 x8

***

Here is a relaxed K2SrMnBr6 crystal from the Alexandria database. Energies are from PBE.

Output
Electronic total energy ... -3.869 eV per atom
Density of states at the Fermi level ... 0.000 states/eV per atom

Cell lengths 7.648, 8.018, 13.341 Å; angles 90.00, 124.23, 90.00 degrees
Space group P2_1/c (No. 14)
One atom of each set of equivalent atoms:
K1 0.221 0.074 0.246 x4
Sr1 0.500 0.000 0.000 x2
Mn1 0.000 0.000 0.500 x2
Br1 0.126 0.214 0.946 x4
Br2 0.236 0.684 0.949 x4
Br3 0.336 0.027 0.733 x4

***

Here is a relaxed KMn2TeBr crystal from the Alexandria database. Energies are from PBE.

Output
Electronic total energy ... -4.780 eV per atom
Density of states at the Fermi level ... 0.644 states/eV per atom

Cell lengths 5.016, 5.016, 7.526 Å; angles 90.00, 90.00, 90.00 degrees
Space group P4/mmm (No. 123)
One atom of each set of equivalent atoms:
K1 0.000 0.000 0.000 x1
Mn1 0.000 0.500 0.500 x2
Te1 0.000 0.000 0.500 x1
Br1 0.500 0.500 0.000 x1

***

Here is a relaxed K3Mn2TlBr8 crystal from the Alexandria database. Energies are from PBE.

Output
Electronic total energy ... -3.835 eV per atom
Density of states at the Fermi level ... 0.000 states/eV per atom

Cell lengths 8.2882, 8.2882, 9.3504 Å; angles 90.00, 90.00, 120.00 degrees
Space group P-3m1 (No. 164)
One atom of each set of equivalent atoms:
K1 0.0000 0.0000 0.0000 x1
K2 0.3333 0.6667 0.5771 x2
Mn1 0.3333 0.6667 0.1711 x2
Tl1 0.0000 0.0000 0.5000 x1
Br1 0.1751 0.3502 0.2878 x6
Br2 0.3333 0.6667 0.9127 x2

***

Here is a relaxed KMn2TlBr8 crystal from the Alexandria database. Energies are from PBE.

Output
Electronic total energy ... -3.742 eV per atom
Density of states at the Fermi level ... 0.961 states/eV per atom

Cell lengths 7.1193, 7.1193, 10.1979 Å; angles 90.00, 90.00, 120.00 degrees
Space group P-3 (No. 147)
One atom of each set of equivalent atoms:
K1 0.0000 0.0000 0.0000 x1
Mn1 0.3333 0.6667 0.7686 x2
Tl1 0.0000 0.0000 0.5000 x1
Br1 0.0108 0.3398 0.7050 x6
Br2 0.3333 0.6667 0.0001 x2

***

Here is a relaxed KMnTlBr4 crystal from the Alexandria database. Energies are from PBE.

Output
Electronic total energy ... -3.855 eV per atom
Density of states at the Fermi level ... 0.000 states/eV per atom

Cell lengths 7.637, 7.592, 9.176 Å; angles 90.00, 108.08, 90.00 degrees
Space group P2_1/m (No. 11)
One atom of each set of equivalent atoms:
K1 0.222 0.250 0.056 x2
Mn1 0.231 0.750 0.801 x2
Tl1 0.261 0.250 0.567 x2
Br1 0.008 0.002 0.743 x4
Br2 0.413 0.750 0.078 x2
Br3 0.424 0.750 0.627 x2

***

Here is a relaxed K4Mn3TlBr12 crystal from the Alexandria database. Energies are from PBE.

Output
Electronic total energy ... -3.823 eV per atom
Density of states at the Fermi level ... 0.245 states/eV per atom

Cell lengths 11.008, 11.008, 11.008 Å; angles 90.00, 90.00, 90.00 degrees
Space group Im-3m (No. 229)
One atom of each set of equivalent atoms:
K1 0.250 0.250 0.250 x8
Mn1 0.000 0.000 0.500 x6
Tl1 0.000 0.000 0.000 x2
Br1 0.000 0.000 0.274 x12
Br2 0.000 0.250 0.500 x12

***

Energy relative to the elements, uncorrected per entry: -0.97 -1.31 -1.09 0.53 3.59 -0.80 -1.16 -1.16 0.40 -0.41 -0.83 -1.22 -0.87 -1.52 -1.56 0.07 -1.17 -0.81 -1.09 -1.11 eV/atom